[1]
A plane-wave DFT calculation with GGA-PBE was carried out for V2CN after structural relaxation.

Computed properties:
Its total magnetic moment is 0.00 μB per formula unit. The space group is I-42d (122). The total energy is -0.343 Ha/atom. For the uncorrected formation energy, the calculation gives -147.5 kJ/mol of formula units.

Cell: 4.4712 4.4712 5.4754 Å, 65.90 65.90 90.00°
Element x y z (fractional)
C1 0.5000 0.5000 0.0000
C2 0.2500 0.7500 0.5000
V1 0.6301 0.1250 0.2500
V2 0.1199 0.6250 0.2500
V3 0.3750 0.3699 0.7500
V4 0.8750 0.8801 0.7500
N1 0.0000 0.0000 0.0000
N2 0.7500 0.2500 0.5000

=====

[2]
A plane-wave DFT calculation with GGA-PBE was carried out for VCN after structural relaxation.

Computed properties:
Its total magnetic moment is 0.00 μB per formula unit. The space group is P-6m2 (187). The total energy is -0.336 Ha/atom. For the uncorrected formation energy, the calculation gives -71.2 kJ/mol of formula units.

Cell: 2.8596 2.8596 7.7325 Å, 90.00 90.00 120.00°
Element x y z (fractional)
C1 0.3334 0.6667 0.0000
C2 0.3333 0.6666 0.5000
V1 0.6666 0.3333 0.3304
V2 0.6666 0.3333 0.6696
N1 0.3333 0.6667 0.8400
N2 0.3333 0.6667 0.1600

=====

[3]
A plane-wave DFT calculation with GGA-PBE was carried out for V8CN2 after structural relaxation.

Computed properties:
Its total magnetic moment is 0.00 μB per formula unit. The space group is C2/m (12). The total energy is -0.352 Ha/atom. For the uncorrected formation energy, the calculation gives -622.4 kJ/mol of formula units.

Cell: 4.2309 5.5561 5.5561 Å, 74.89 87.79 87.79°
Element x y z (fractional)
V1 0.7632 0.9063 0.3315
V2 0.2368 0.6685 0.0937
V3 0.7079 0.8379 0.8379
V4 0.2921 0.1621 0.1621
V5 0.7632 0.3315 0.9063
V6 0.2368 0.0937 0.6685
V7 0.2402 0.6136 0.6136
V8 0.7598 0.3864 0.3864
C1 0.0000 0.0000 0.0000
N1 0.7377 0.6140 0.6140
N2 0.2623 0.3860 0.3860

=====

[4]
A plane-wave DFT calculation with GGA-PBE was carried out for VCN2 after structural relaxation.

Computed properties:
Its total magnetic moment is 0.00 μB per formula unit. The space group is I-42d (122). The total energy is -0.309 Ha/atom. For the uncorrected formation energy, the calculation gives 126.1 kJ/mol of formula units.

Cell: 4.3884 4.3884 4.4467 Å, 60.43 60.43 90.00°
Element x y z (fractional)
C1 0.5000 0.5000 0.0000
C2 0.2500 0.7500 0.5000
V1 0.0000 0.0000 0.0000
V2 0.7500 0.2500 0.5000
N1 0.5208 0.1250 0.2500
N2 0.2292 0.6250 0.2500
N3 0.3750 0.4792 0.7500
N4 0.8750 0.7708 0.7500

=====

[5]
A plane-wave DFT calculation with GGA-PBE was carried out for V3CN after structural relaxation.

Computed properties:
Its total magnetic moment is 0.00 μB per formula unit. The space group is Pm-3m (221). The total energy is -0.320 Ha/atom. For the uncorrected formation energy, the calculation gives 126.6 kJ/mol of formula units.

Cell: 3.7937 3.7937 3.7937 Å, 90.00 90.00 90.00°
Element x y z (fractional)
C1 0.5000 0.5000 0.5000
V1 0.0000 0.5000 0.0000
V2 0.0000 0.0000 0.5000
V3 0.5000 0.0000 0.0000
N1 0.0000 0.0000 0.0000

=====

[6]
A plane-wave DFT calculation with GGA-PBE was carried out for V6C3N after structural relaxation.

Computed properties:
Its total magnetic moment is 0.00 μB per formula unit. The space group is R3 (146). The total energy is -0.356 Ha/atom. For the uncorrected formation energy, the calculation gives -595.5 kJ/mol of formula units.

Cell: 5.0490 5.0490 5.4752 Å, 62.54 62.54 60.00°
Element x y z (fractional)
V1 0.9302 0.5738 0.2497
V2 0.2463 0.9302 0.2497
V3 0.5738 0.2463 0.2497
V4 0.0695 0.4321 0.7498
V5 0.7486 0.0695 0.7498
V6 0.4321 0.7486 0.7498
C1 0.3427 0.3427 0.9718
C2 0.6562 0.6562 0.0315
C3 0.1575 0.1575 0.5276
N1 0.8431 0.8431 0.4706

=====

[7]
A plane-wave DFT calculation with GGA-PBE was carried out for V8C3N2 after structural relaxation.

Computed properties:
Its total magnetic moment is 0.00 μB per formula unit. The space group is C2/m (12). The total energy is -0.356 Ha/atom. For the uncorrected formation energy, the calculation gives -837.3 kJ/mol of formula units.

Cell: 4.9825 5.7798 5.7798 Å, 59.88 72.67 72.67°
Element x y z (fractional)
V1 0.7607 0.6256 0.6256
V2 0.2393 0.3744 0.3744
V3 0.7495 0.1236 0.1236
V4 0.2505 0.8764 0.8764
V5 0.7585 0.6306 0.1196
V6 0.7585 0.1196 0.6306
V7 0.2415 0.8804 0.3694
V8 0.2415 0.3694 0.8804
C1 0.5000 0.0000 0.0000
C2 0.0000 0.2512 0.7488
C3 0.0000 0.7488 0.2512
N1 0.9982 0.2513 0.2513
N2 0.0018 0.7487 0.7487

=====

[8]
A plane-wave DFT calculation with GGA-PBE was carried out for VCN2 after structural relaxation.

Computed properties:
Its total magnetic moment is 0.00 μB per formula unit. The space group is R-3m (166). The total energy is -0.268 Ha/atom. For the uncorrected formation energy, the calculation gives 563.2 kJ/mol of formula units.

Cell: 5.9752 5.9752 5.9752 Å, 24.28 24.28 24.28°
Element x y z (fractional)
C1 0.5000 0.5000 0.5000
V1 0.0000 0.0000 0.0000
N1 0.8860 0.8860 0.8860
N2 0.1140 0.1140 0.1140

=====

What did the second record say?
A plane-wave DFT calculation with GGA-PBE was carried out for VCN after structural relaxation.

Computed properties:
Its total magnetic moment is 0.00 μB per formula unit. The space group is P-6m2 (187). The total energy is -0.336 Ha/atom. For the uncorrected formation energy, the calculation gives -71.2 kJ/mol of formula units.

Cell: 2.8596 2.8596 7.7325 Å, 90.00 90.00 120.00°
Element x y z (fractional)
C1 0.3334 0.6667 0.0000
C2 0.3333 0.6666 0.5000
V1 0.6666 0.3333 0.3304
V2 0.6666 0.3333 0.6696
N1 0.3333 0.6667 0.8400
N2 0.3333 0.6667 0.1600